This record from the Alexandria database describes a relaxed structure of AcInBiRh3. The functional is PBE-GGA.

## Properties
calculated formation energy: -319 meV per atom
VASP energy: -69.4 eV/cell

abc: 5.8900 5.8856 9.1561
angles: 108.75 90.00 90.00
With the nearest neighbours (Å) after each atom.
Sites, in units of the cell vectors:
Ac (0.7500, 0.2604, 0.5209)  4 Rh 2.94-2.96
Ac (0.2500, 0.7396, 0.4791)  4 Rh 2.94-2.96
In (0.2500, 0.3970, 0.7941)  5 Rh 2.64-2.69
In (0.7500, 0.6030, 0.2059)  5 Rh 2.64-2.69
Bi (0.2500, 0.0902, 0.1804)  5 Rh 2.66-2.68
Bi (0.7500, 0.9098, 0.8196)  5 Rh 2.66-2.68
Rh (0.2500, 0.2448, 0.4895)  1 In 2.64, 1 Bi 2.68, 4 Ac 2.94-2.96
Rh (0.0000, 0.2659, 0.0000)  2 Bi 2.66, 2 In 2.69, 3 Rh 2.76-2.94
Rh (0.5000, 0.7341, 0.0000)  2 Bi 2.66, 2 In 2.69, 3 Rh 2.76-2.94
Rh (0.5000, 0.2659, 0.0000)  2 Bi 2.66, 2 In 2.69, 3 Rh 2.76-2.94
Rh (0.0000, 0.7341, 0.0000)  2 Bi 2.66, 2 In 2.69, 3 Rh 2.76-2.94
Rh (0.7500, 0.7552, 0.5105)  1 In 2.64, 1 Bi 2.68, 4 Ac 2.94-2.96

=====

This record from the Alexandria database describes a relaxed structure of Th2TiH. The functional is PBE-GGA.

## Properties
VASP energy: -24.9 eV/cell

abc: 3.3086 3.3086 9.2939
angles: 79.75 79.75 60.00
With the nearest neighbours (Å) after each atom.
Sites, in units of the cell vectors:
H (0.5000, 0.5000, 0.5000)  6 Th 2.52
Th (0.1065, 0.1065, 0.6806)  3 H 2.52
Th (0.8935, 0.8935, 0.3194)  3 H 2.52
Ti (0.0000, 0.0000, 0.0000)  2 Th 2.90

=====

This record from the Alexandria database describes a relaxed structure of NaNdGdHg. The functional is PBE-GGA.

## Properties
calculated formation energy: -89 meV per atom
VASP energy: -20.8 eV/cell

abc: 5.4479 5.4479 5.4479
angles: 60.00 60.00 60.00
With the nearest neighbours (Å) after each atom.
Sites, in units of the cell vectors:
Na (0.0000, 0.0000, 0.0000)  4 Nd 3.34, 4 Gd 3.34
Gd (0.7500, 0.7500, 0.7500)  4 Na 3.34, 4 Hg 3.34
Nd (0.2500, 0.2500, 0.2500)  4 Hg 3.34, 4 Na 3.34
Hg (0.5000, 0.5000, 0.5000)  4 Gd 3.34, 4 Nd 3.34

=====

This record from the Alexandria database describes a relaxed structure of PtWAu2. The functional is PBE-GGA.

## Properties
energy above the most stable polymorph in this dataset: 0.000 eV per formula unit
calculated formation energy: 0 meV per atom
VASP energy: -25.5 eV/cell

abc: 2.8493 2.8493 8.2943
angles: 90.00 90.00 90.00
With the nearest neighbours (Å) after each atom.
Sites, in units of the cell vectors:
Au (0.0000, 0.0000, 0.9875)  8 Au 2.85-3.00, 4 W 2.89
Au (0.5000, 0.5000, 0.2554)  8 Au 2.85-3.00, 4 Pt 2.97
Pt (0.0000, 0.0000, 0.5192)  4 W 2.71, 4 Pt 2.85, 4 Au 2.97
W (0.5000, 0.5000, 0.7378)  4 Pt 2.71, 4 W 2.85, 4 Au 2.89

=====

This record from the Alexandria database describes a relaxed structure of BeCo2Br. The functional is PBE-GGA.

## Properties
energy above the most stable polymorph in this dataset: 1.253 eV per formula unit
uncorrected formation energy: 0.63 eV/atom
VASP energy: -17.1 eV/cell

abc: 2.9132 4.5995 4.7703
angles: 50.17 90.00 90.00
With the nearest neighbours (Å) after each atom.
Sites, in units of the cell vectors:
Be (0.5000, 0.5000, 0.5000)  6 Co 2.39-2.46
Co (0.0000, 0.0000, 0.0000)  2 Br 2.39, 4 Be 2.46
Co (0.5000, 0.5000, 0.0000)  2 Be 2.39, 4 Br 2.46
Br (0.0000, 0.0000, 0.5000)  6 Co 2.39-2.46

=====

This record from the Alexandria database describes a relaxed structure of La7Hg4Cl. The functional is PBE-GGA.

## Properties
uncorrected formation energy: -0.55 eV/atom
VASP energy: -44.1 eV/cell

abc: 5.3558 8.2871 10.4726
angles: 121.15 104.82 90.00
With the nearest neighbours (Å) after each atom.
Sites, in units of the cell vectors:
La (0.1528, 0.3874, 0.3057)  1 Cl 3.04
La (0.8472, 0.6126, 0.6943)  1 Cl 3.04
La (0.9287, 0.2363, 0.8573)  1 Cl 2.99
La (0.0713, 0.7637, 0.1427)  1 Cl 2.99
La (0.7170, 0.8141, 0.4340)  4 Hg 3.10-3.28
La (0.5000, 0.0000, 0.0000)  2 Cl 2.68
La (0.2830, 0.1859, 0.5660)  4 Hg 3.10-3.28
Hg (0.4455, 0.5648, 0.8910)  1 Hg 2.93, 2 La 3.10-3.16
Hg (0.5545, 0.4352, 0.1090)  1 Hg 2.93, 2 La 3.10-3.16
Hg (0.3159, 0.8417, 0.6319)  7 La 3.22-3.53
Hg (0.6841, 0.1583, 0.3681)  7 La 3.22-3.53
Cl (0.0000, 0.0000, 0.0000)  4 La 2.68-2.99

=====

This record from the Alexandria database describes a relaxed structure of MgAlW2. The functional is PBE-GGA.

## Properties
energy above the most stable polymorph in this dataset: 0.003 eV per formula unit
calculated formation energy: 153 meV per atom
VASP energy: -30.6 eV/cell

abc: 4.5162 2.7662 5.2794
angles: 81.99 90.00 90.00
With the nearest neighbours (Å) after each atom.
Sites, in units of the cell vectors:
Al (0.0000, 0.5371, 0.4911)  2 Mg 2.73, 4 W 2.73-2.87, 2 Al 2.77
Mg (0.5000, 0.7048, 0.7547)  2 Al 2.73, 4 W 2.76-2.85, 2 Mg 2.77
W (0.0000, 0.0415, 0.0073)  4 W 2.67-2.77, 2 Al 2.73-2.87, 2 Mg 2.84
W (0.5000, 0.2166, 0.2469)  4 W 2.67-2.77, 2 Mg 2.76-2.85, 2 Al 2.80

=====

This record from the Alexandria database describes a relaxed structure of Na2P2Se. The functional is PBE-GGA.

## Properties
uncorrected formation energy: -0.14 eV/atom
VASP energy: -17.6 eV/cell

abc: 5.7821 5.7821 5.4327
angles: 57.85 57.85 90.00
With the nearest neighbours (Å) after each atom.
Sites, in units of the cell vectors:
P (0.3532, 0.3532, 0.2936)  1 P 2.10
P (0.6468, 0.6468, 0.7064)  1 P 2.10
Se (0.0000, 0.0000, 0.0000)  2 P 2.53
Na (0.7500, 0.2500, 0.5000)  4 P 2.98
Na (0.2500, 0.7500, 0.5000)  4 P 2.98